! MnHgN2F, relaxed, DFT PBE with a Hubbard U; values from VASP
&SYSTEM
  ibrav = 0, nat = 5, ntyp = 4
/
ATOMIC_SPECIES
Mn 54.94 Mn.upf
Hg 200.59 Hg.upf
N 14.01 N.upf
F 19.00 F.upf
CELL_PARAMETERS angstrom
3.756 0.000 0.000
0.000 3.756 0.000
0.000 0.000 4.097
ATOMIC_POSITIONS angstrom
Mn 0.000 0.000 0.000
Hg 1.878 1.878 2.049
N 0.000 1.878 0.000
N 1.878 0.000 0.000
F 0.000 0.000 2.049
! - DOS at the Fermi energy (states/eV/f.u.) = 2.87
! - symmetry = P4/mmm, No. 123
! - total DFT energy (no corrections) (eV/atom) = -4.4647